No. 1
The following is a DFT calculation (meta-GGA SCAN) of a crystal of FeSb2Te relaxed with PBEsol.

a = 3.1085 Å, b = 3.1085 Å, c = 9.1178 Å
α = 90.00°, β = 90.00°, γ = 90.00°
Closest atoms and distances in Å follow each position.
Sites, in units of the cell vectors:
Fe  0.5000  0.5000  0.7435  4 Te 2.64, 4 Sb 2.79
Te  0.0000  0.0000  0.5823  4 Fe 2.64
Sb  0.5000  0.5000  0.2427  4 Sb 3.11
Sb  0.0000  0.0000  0.9316  4 Fe 2.79, 4 Sb 3.11

Results
* VASP energy: -128.72 eV/cell
* density: 8.0 g/cm³

No. 2
The following is a DFT calculation (meta-GGA SCAN) of a crystal of FeTeO2 relaxed with PBEsol.

a = 3.0190 Å, b = 3.0190 Å, c = 7.1722 Å
α = 77.85°, β = 77.85°, γ = 60.00°
Closest atoms and distances in Å follow each position.
Sites, in units of the cell vectors:
O  0.9155  0.9155  0.2534  1 Fe 1.76
O  0.0845  0.0845  0.7466  1 Fe 1.76
Fe  0.0000  0.0000  0.0000  2 O 1.76
Te  0.5000  0.5000  0.5000  6 O 2.45

Results
* VASP energy: -69.08 eV/cell
* density: 6.5 g/cm³

No. 3
The following is a DFT calculation (meta-GGA SCAN) of a crystal of KSiAu2 relaxed with PBEsol.

a = 5.3972 Å, b = 5.3972 Å, c = 8.7480 Å
α = 107.97°, β = 107.97°, γ = 90.00°
Closest atoms and distances in Å follow each position.
Sites, in units of the cell vectors:
Au  0.1250  0.3750  0.7500  2 Si 2.39
Au  0.6250  0.3750  0.7500  2 Si 2.39
Au  0.6250  0.3750  0.2500  2 Si 2.39
Au  0.6250  0.8750  0.2500  2 Si 2.39
K  0.2500  0.7500  0.5000  8 Au 3.60, 4 Si 3.82
K  0.0000  0.0000  0.0000  8 Au 3.60, 4 Si 3.82
Si  0.7500  0.2500  0.5000  4 Au 2.39
Si  0.5000  0.5000  0.0000  4 Au 2.39

Results
* VASP energy: -315.69 eV/cell
* density: 6.7 g/cm³

No. 4
The following is a DFT calculation (meta-GGA SCAN) of a crystal of BeFePCl2 relaxed with PBEsol.

a = 4.3634 Å, b = 4.5421 Å, c = 4.5421 Å
α = 90.00°, β = 90.00°, γ = 90.00°
Closest atoms and distances in Å follow each position.
Sites, in units of the cell vectors:
Be  0.5000  0.5000  0.5000  8 Cl 3.15, 4 P 3.21
P  0.5000  0.0000  0.0000  2 Fe 2.18
Cl  0.0000  0.5000  0.0000  2 Fe 2.27
Cl  0.0000  0.0000  0.5000  2 Fe 2.27
Fe  0.0000  0.0000  0.0000  2 P 2.18, 4 Cl 2.27

Results
* VASP energy: -46.08 eV/cell
* density: 3.1 g/cm³

No. 5
The following is a DFT calculation (meta-GGA SCAN) of a crystal of TcAsRu relaxed with PBEsol.

a = 4.0874 Å, b = 4.0874 Å, c = 4.0874 Å
α = 60.00°, β = 60.00°, γ = 60.00°
Closest atoms and distances in Å follow each position.
Sites, in units of the cell vectors:
Ru  0.7500  0.7500  0.7500  4 Tc 2.50, 4 As 2.50
Tc  0.0000  0.0000  0.0000  4 Ru 2.50
As  0.5000  0.5000  0.5000  4 Ru 2.50

Results
* energy above the lowest structure with this stoichiometry: 0.0000 eV/atom
* formation energy from the elements: 0.003 eV/atom
* density: 9.4 g/cm³

No. 6
The following is a DFT calculation (meta-GGA SCAN) of a crystal of SiRuN2 relaxed with PBEsol.

a = 2.7269 Å, b = 2.7269 Å, c = 6.1386 Å
α = 77.17°, β = 77.17°, γ = 60.00°
Closest atoms and distances in Å follow each position.
Sites, in units of the cell vectors:
N  0.1092  0.1092  0.6724  3 Si 1.88, 1 Ru 1.94
N  0.8908  0.8908  0.3276  3 Si 1.88, 1 Ru 1.94
Ru  0.0000  0.0000  0.0000  2 N 1.94
Si  0.5000  0.5000  0.5000  6 N 1.88

Results
* VASP energy: -64.43 eV/cell
* density: 6.8 g/cm³

No. 7
The following is a DFT calculation (meta-GGA SCAN) of a crystal of FeSiHg2 relaxed with PBEsol.

a = 3.0768 Å, b = 4.9537 Å, c = 4.9537 Å
α = 113.28°, β = 90.00°, γ = 90.00°
Closest atoms and distances in Å follow each position.
Sites, in units of the cell vectors:
Si  0.5000  0.0000  0.0000  2 Fe 2.72, 8 Hg 2.92
Hg  0.0000  0.0000  0.5000  2 Hg 2.72, 4 Fe 2.92, 4 Si 2.92
Hg  0.0000  0.5000  0.0000  2 Hg 2.72, 4 Si 2.92, 4 Fe 2.92
Fe  0.5000  0.5000  0.5000  2 Si 2.72, 8 Hg 2.92

Results
* VASP energy: -162.17 eV/cell
* density: 11.6 g/cm³

No. 8
The following is a DFT calculation (meta-GGA SCAN) of a crystal of PbCBr2 relaxed with PBEsol.

a = 6.7342 Å, b = 6.7342 Å, c = 6.7342 Å
α = 60.00°, β = 60.00°, γ = 60.00°
Closest atoms and distances in Å follow each position.
Sites, in units of the cell vectors:
Br  0.6250  0.1250  0.1250  2 C 2.06
Br  0.1250  0.1250  0.1250  2 C 2.06
Br  0.1250  0.1250  0.6250  2 C 2.06
Br  0.1250  0.6250  0.1250  2 C 2.06
C  0.2500  0.2500  0.2500  4 Br 2.06
C  0.0000  0.0000  0.0000  4 Br 2.06
Pb  0.7500  0.7500  0.7500  12 Br 3.95, 4 Pb 4.12, 4 C 4.12
Pb  0.5000  0.5000  0.5000  12 Br 3.95, 4 C 4.12, 4 Pb 4.12

Results
* energy above the lowest structure with this stoichiometry: 0.0276 eV/atom
* density: 5.8 g/cm³

No. 9
The following is a DFT calculation (meta-GGA SCAN) of a crystal of Pr2SmS4 relaxed with PBEsol.

a = 7.3249 Å, b = 7.3249 Å, c = 7.3249 Å
α = 109.70°, β = 109.70°, γ = 109.01°
Closest atoms and distances in Å follow each position.
Sites, in units of the cell vectors:
Pr  0.7453  0.3750  0.8703  8 S 2.87-3.01
Pr  0.1250  0.2547  0.6297  8 S 2.87-3.01
Pr  0.5047  0.8750  0.1297  8 S 2.87-3.01
Pr  0.6250  0.4953  0.3703  8 S 2.87-3.01
S  0.0296  0.6309  0.7526  2 Sm 2.83-3.00, 4 Pr 2.87-3.01, 1 S 3.16
S  0.2204  0.4730  0.1013  2 Sm 2.83-3.00, 4 Pr 2.87-3.01, 1 S 3.16
S  0.8809  0.7796  0.2526  2 Sm 2.83-3.00, 4 Pr 2.87-3.01, 1 S 3.16
S  0.3691  0.1218  0.3987  2 Sm 2.83-3.00, 4 Pr 2.87-3.01, 1 S 3.16
S  0.3718  0.1191  0.8987  2 Sm 2.83-3.00, 4 Pr 2.87-3.01, 1 S 3.16
S  0.8782  0.2770  0.2474  2 Sm 2.83-3.00, 4 Pr 2.87-3.01, 1 S 3.16
S  0.7230  0.9704  0.6013  2 Sm 2.83-3.00, 4 Pr 2.87-3.01, 1 S 3.16
S  0.5270  0.6282  0.7474  2 Sm 2.83-3.00, 4 Pr 2.87-3.01, 1 S 3.16
Sm  0.2500  0.7500  0.5000  8 S 2.83-3.00
Sm  0.0000  0.0000  0.0000  8 S 2.83-3.00

Results
* VASP energy: -371.44 eV/cell
* density: 6.2 g/cm³

No. 10
The following is a DFT calculation (meta-GGA SCAN) of a crystal of Cd2PbAu relaxed with PBEsol.

a = 3.2844 Å, b = 3.2844 Å, c = 8.1645 Å
α = 90.00°, β = 90.00°, γ = 90.00°
Closest atoms and distances in Å follow each position.
Sites, in units of the cell vectors:
Cd  0.0000  0.0000  0.9809  4 Au 2.87, 4 Cd 3.04
Cd  0.5000  0.5000  0.2205  8 Cd 3.04-3.28, 4 Pb 3.39
Pb  0.0000  0.0000  0.5235  4 Au 3.10, 4 Pb 3.28, 4 Cd 3.39
Au  0.5000  0.5000  0.7751  4 Cd 2.87, 4 Pb 3.10

Results
* formation energy from the elements: -0.018 eV/atom
* density: 11.9 g/cm³

No. 11
The following is a DFT calculation (meta-GGA SCAN) of a crystal of ScSbTe2Rh relaxed with PBEsol.

a = 5.2879 Å, b = 5.2879 Å, c = 5.3077 Å
α = 90.00°, β = 90.00°, γ = 90.00°
Closest atoms and distances in Å follow each position.
Sites, in units of the cell vectors:
Sb  0.0000  0.0000  0.5000  2 Sc 2.65
Rh  0.5000  0.5000  0.5000  4 Sb 3.74, 8 Te 3.75
Te  0.0000  0.5000  0.0000  2 Sc 2.64
Te  0.5000  0.0000  0.0000  2 Sc 2.64
Sc  0.0000  0.0000  0.0000  4 Te 2.64, 2 Sb 2.65

Results
* VASP energy: -156.64 eV/cell
* density: 5.9 g/cm³

No. 12
The following is a DFT calculation (meta-GGA SCAN) of a crystal of HoCuGe relaxed with PBEsol.

a = 4.1616 Å, b = 4.1616 Å, c = 7.2378 Å
α = 90.00°, β = 90.00°, γ = 120.00°
Closest atoms and distances in Å follow each position.
Sites, in units of the cell vectors:
Ge  0.3333  0.6667  0.7500  3 Cu 2.40
Ge  0.6667  0.3333  0.2500  3 Cu 2.40
Cu  0.3333  0.6667  0.2500  3 Ge 2.40
Cu  0.6667  0.3333  0.7500  3 Ge 2.40
Ho  0.0000  0.0000  0.5000  6 Ge 3.01, 6 Cu 3.01
Ho  0.0000  0.0000  0.0000  6 Ge 3.01, 6 Cu 3.01

Results
* formation energy from the elements: -0.768 eV/atom
* density: 9.2 g/cm³

No. 13
The following is a DFT calculation (meta-GGA SCAN) of a crystal of AlTcBi2Ir relaxed with PBEsol.

a = 4.4437 Å, b = 5.2266 Å, c = 5.2266 Å
α = 90.00°, β = 90.00°, γ = 90.00°
Closest atoms and distances in Å follow each position.
Sites, in units of the cell vectors:
Bi  0.0000  0.5000  0.0000  2 Al 2.61
Bi  0.0000  0.0000  0.5000  2 Al 2.61
Ir  0.5000  0.0000  0.0000  2 Al 2.22
Tc  0.5000  0.5000  0.5000  8 Bi 3.43, 4 Ir 3.70
Al  0.0000  0.0000  0.0000  2 Ir 2.22

Results
* formation energy from the elements: 1.301 eV/atom
* density: 10.1 g/cm³

No. 14
The following is a DFT calculation (meta-GGA SCAN) of a crystal of GeTe2Ir relaxed with PBEsol.

a = 3.8507 Å, b = 3.8507 Å, c = 8.9163 Å
α = 77.53°, β = 77.53°, γ = 60.00°
Closest atoms and distances in Å follow each position.
Sites, in units of the cell vectors:
Ir  0.5000  0.5000  0.5000  6 Te 2.62
Te  0.8872  0.8872  0.3385  3 Ir 2.62, 1 Ge 2.92
Te  0.1128  0.1128  0.6615  3 Ir 2.62, 1 Ge 2.92
Ge  0.0000  0.0000  0.0000  2 Te 2.92

Results
* VASP energy: -164.23 eV/cell
* density: 7.8 g/cm³

No. 15
The following is a DFT calculation (meta-GGA SCAN) of a crystal of KTeSCl2 relaxed with PBEsol.

a = 5.0922 Å, b = 5.3951 Å, c = 5.3951 Å
α = 90.00°, β = 90.00°, γ = 90.00°
Closest atoms and distances in Å follow each position.
Sites, in units of the cell vectors:
S  0.5000  0.0000  0.0000  2 Te 2.55
Cl  0.0000  0.5000  0.0000  2 Te 2.70
Cl  0.0000  0.0000  0.5000  2 Te 2.70
K  0.5000  0.5000  0.5000  8 Cl 3.71, 4 S 3.81
Te  0.0000  0.0000  0.0000  2 S 2.55, 4 Cl 2.70

Results
* VASP energy: -75.33 eV/cell
* density: 3.0 g/cm³

No. 16
The following is a DFT calculation (meta-GGA SCAN) of a crystal of Cr2Hg2P relaxed with PBEsol.

a = 3.7395 Å, b = 3.7395 Å, c = 6.9632 Å
α = 105.58°, β = 105.58°, γ = 90.00°
Closest atoms and distances in Å follow each position.
Sites, in units of the cell vectors:
Cr  0.5738  0.5738  0.1476  1 Cr 1.90
Cr  0.4262  0.4262  0.8524  1 Cr 1.90
Hg  0.2500  0.7500  0.5000  4 Hg 2.64, 4 Cr 2.94
Hg  0.7500  0.2500  0.5000  4 Hg 2.64, 4 Cr 2.94
P  0.0000  0.0000  0.0000  8 Cr 2.81

Results
* formation energy from the elements: 0.768 eV/atom
* density: 9.9 g/cm³

No. 17
The following is a DFT calculation (meta-GGA SCAN) of a crystal of Ta20Pd9S50 relaxed with PBEsol.

a = 10.1721 Å, b = 10.1721 Å, c = 15.2125 Å
α = 99.13°, β = 99.13°, γ = 106.33°
Closest atoms and distances in Å follow each position.
Sites, in units of the cell vectors:
S  0.9790  0.1787  0.8770  1 Pd 2.32, 2 Ta 2.44-2.45
S  0.7784  0.3786  0.8766  1 Pd 2.32, 2 Ta 2.44-2.45
S  0.5519  0.7518  0.5046  1 Pd 2.40, 3 Ta 2.53-2.62
S  0.0570  0.6515  0.4933  2 Pd 2.41-2.42, 3 Ta 2.54-2.65
S  0.4729  0.8727  0.1109  1 Pd 2.33, 2 Ta 2.45
S  0.3279  0.3279  0.8885  1 Pd 2.32, 2 Ta 2.45
S  0.1787  0.9790  0.8770  1 Pd 2.32, 2 Ta 2.44-2.45
S  0.7270  0.9266  0.8894  1 Pd 2.33, 2 Ta 2.45-2.46
S  0.4223  0.4223  0.1239  1 Pd 2.32, 2 Ta 2.45
S  0.9958  0.9958  0.3144  3 Ta 2.44-2.47
S  0.7504  0.7504  0.6949  3 Ta 2.45-2.46
S  0.8213  0.0210  0.1230  1 Pd 2.32, 2 Ta 2.44-2.45
S  0.3491  0.1497  0.6950  3 Ta 2.46-2.47
S  0.3485  0.9430  0.5067  2 Pd 2.41-2.42, 3 Ta 2.54-2.65
S  0.1273  0.5271  0.8891  1 Pd 2.33, 2 Ta 2.45
S  0.2216  0.6214  0.1234  1 Pd 2.32, 2 Ta 2.44-2.45
S  0.8503  0.6509  0.3050  3 Ta 2.46-2.47
S  0.9498  0.5505  0.6955  3 Ta 2.45-2.46
S  0.8512  0.8512  0.4945  2 Pd 2.42, 3 Ta 2.56-2.63
S  0.2730  0.0734  0.1106  1 Pd 2.33, 2 Ta 2.45-2.46
S  0.2043  0.8037  0.6858  3 Ta 2.44-2.46
S  0.3976  0.5963  0.3170  3 Ta 2.45-2.47
S  0.5271  0.1273  0.8891  1 Pd 2.33, 2 Ta 2.45
S  0.1963  0.7957  0.3142  3 Ta 2.44-2.46
S  0.1488  0.1488  0.5055  2 Pd 2.42, 3 Ta 2.56-2.63
S  0.5777  0.5777  0.8761  1 Pd 2.32, 2 Ta 2.45
S  0.6214  0.2216  0.1234  1 Pd 2.32, 2 Ta 2.44-2.45
S  0.6721  0.6721  0.1115  1 Pd 2.32, 2 Ta 2.45
S  0.0502  0.4495  0.3045  3 Ta 2.45-2.46
S  0.0734  0.2730  0.1106  1 Pd 2.33, 2 Ta 2.45-2.46
S  0.3786  0.7784  0.8766  1 Pd 2.32, 2 Ta 2.44-2.45
S  0.6509  0.8503  0.3050  3 Ta 2.46-2.47
S  0.9266  0.7270  0.8894  1 Pd 2.33, 2 Ta 2.45-2.46
S  0.4495  0.0502  0.3045  3 Ta 2.45-2.46
S  0.4481  0.2482  0.4954  1 Pd 2.40, 3 Ta 2.53-2.62
S  0.4037  0.6024  0.6830  3 Ta 2.45-2.47
S  0.8037  0.2043  0.6858  3 Ta 2.44-2.46
S  0.0210  0.8213  0.1230  1 Pd 2.32, 2 Ta 2.44-2.45
S  0.2482  0.4481  0.4954  1 Pd 2.40, 3 Ta 2.53-2.62
S  0.1497  0.3491  0.6950  3 Ta 2.46-2.47
S  0.7518  0.5519  0.5046  1 Pd 2.40, 3 Ta 2.53-2.62
S  0.8727  0.4729  0.1109  1 Pd 2.33, 2 Ta 2.45
S  0.0042  0.0042  0.6856  3 Ta 2.44-2.47
S  0.5963  0.3976  0.3170  3 Ta 2.45-2.47
S  0.6515  0.0570  0.4933  2 Pd 2.41-2.42, 3 Ta 2.54-2.65
S  0.7957  0.1963  0.3142  3 Ta 2.44-2.46
S  0.2496  0.2496  0.3051  3 Ta 2.45-2.46
S  0.9430  0.3485  0.5067  2 Pd 2.41-2.42, 3 Ta 2.54-2.65
S  0.6024  0.4037  0.6830  3 Ta 2.45-2.47
S  0.5505  0.9498  0.6955  3 Ta 2.45-2.46
Ta  0.9521  0.7511  0.6238  7 S 2.46-2.62
Ta  0.5508  0.1495  0.6238  7 S 2.45-2.65
Ta  0.2489  0.0479  0.3762  7 S 2.46-2.62
Ta  0.5278  0.3267  0.8173  6 S 2.44-2.46
Ta  0.9273  0.9273  0.8180  6 S 2.44-2.46
Ta  0.7511  0.9521  0.6238  7 S 2.46-2.62
Ta  0.8731  0.2722  0.1814  6 S 2.44-2.46
Ta  0.6499  0.6499  0.3771  7 S 2.46-2.63
Ta  0.3501  0.3501  0.6229  7 S 2.46-2.63
Ta  0.7278  0.1269  0.8186  6 S 2.44-2.46
Ta  0.8505  0.4492  0.3762  7 S 2.45-2.65
Ta  0.3267  0.5278  0.8173  6 S 2.44-2.46
Ta  0.0479  0.2489  0.3762  7 S 2.46-2.62
Ta  0.1495  0.5508  0.6238  7 S 2.45-2.65
Ta  0.0727  0.0727  0.1820  6 S 2.44-2.46
Ta  0.1269  0.7278  0.8186  6 S 2.44-2.46
Ta  0.6733  0.4722  0.1827  6 S 2.44-2.46
Ta  0.2722  0.8731  0.1814  6 S 2.44-2.46
Ta  0.4492  0.8505  0.3762  7 S 2.45-2.65
Ta  0.4722  0.6733  0.1827  6 S 2.44-2.46
Pd  0.3047  0.6953  0.5000  4 S 2.40-2.41
Pd  0.6993  0.3007  0.0000  4 S 2.32-2.33
Pd  0.5000  0.5000  0.0000  4 S 2.32
Pd  0.6953  0.3047  0.5000  4 S 2.40-2.41
Pd  0.0997  0.9003  0.0000  4 S 2.32-2.33
Pd  0.8999  0.1001  0.5000  4 S 2.42
Pd  0.3007  0.6993  0.0000  4 S 2.32-2.33
Pd  0.9003  0.0997  0.0000  4 S 2.32-2.33
Pd  0.1001  0.8999  0.5000  4 S 2.42

Results
* VASP energy: -2185.80 eV/cell
* density: 7.0 g/cm³

No. 18
The following is a DFT calculation (meta-GGA SCAN) of a crystal of Zn2SbMo relaxed with PBEsol.

a = 3.8079 Å, b = 4.0091 Å, c = 5.0403 Å
α = 113.43°, β = 112.19°, γ = 90.00°
Closest atoms and distances in Å follow each position.
Sites, in units of the cell vectors:
Mo  0.4985  0.4985  0.9970  8 Zn 2.76-2.89, 4 Sb 2.86-2.89
Zn  0.7463  0.2463  0.4926  4 Sb 2.76, 4 Zn 2.79-2.95, 4 Mo 2.85-2.89
Zn  0.0037  0.0037  0.0075  4 Mo 2.76, 4 Zn 2.79-2.95, 4 Sb 2.85-2.89
Sb  0.2515  0.7515  0.5029  8 Zn 2.76-2.89, 4 Mo 2.86-2.89

Results
* VASP energy: -98.54 eV/cell
* density: 9.0 g/cm³

No. 19
The following is a DFT calculation (meta-GGA SCAN) of a crystal of InSeBr2F relaxed with PBEsol.

a = 5.2460 Å, b = 5.2460 Å, c = 5.4515 Å
α = 90.00°, β = 90.00°, γ = 90.00°
Closest atoms and distances in Å follow each position.
Sites, in units of the cell vectors:
F  0.5000  0.5000  0.5000  4 Se 3.71, 8 Br 3.78
Br  0.0000  0.5000  0.0000  2 In 2.62
Br  0.5000  0.0000  0.0000  2 In 2.62
In  0.0000  0.0000  0.0000  4 Br 2.62, 2 Se 2.73
Se  0.0000  0.0000  0.5000  2 In 2.73

Results
* VASP energy: -96.45 eV/cell
* density: 4.1 g/cm³

No. 20
The following is a DFT calculation (meta-GGA SCAN) of a crystal of LaTaNb3 relaxed with PBEsol.

a = 4.9569 Å, b = 4.9569 Å, c = 4.9569 Å
α = 90.00°, β = 90.00°, γ = 90.00°
Closest atoms and distances in Å follow each position.
Sites, in units of the cell vectors:
Nb  0.0000  0.0000  0.5000  2 Ta 2.48
Nb  0.5000  0.0000  0.0000  2 Ta 2.48
Nb  0.0000  0.5000  0.0000  2 Ta 2.48
Ta  0.0000  0.0000  0.0000  6 Nb 2.48
La  0.5000  0.5000  0.5000  12 Nb 3.51

Results
* formation energy from the elements: 0.938 eV/atom
* density: 8.2 g/cm³